This record from the Open Quantum Materials Database describes a relaxed RbNb4N5F crystal. The functional is PBE.

Unit cell a=4.1451 b=4.1451 c=8.9591 alpha=90.00 beta=90.00 gamma=90.00
With the nearest neighbours (Å) after each atom.
Atoms (fractional coordinates):
F 0.0000 0.0000 0.5000  2 Nb 2.17
N 0.5000 0.5000 0.0000  4 Nb 2.07
N 0.5000 0.0000 0.2382  3 Nb 2.08-2.13
N 0.0000 0.5000 0.2382  3 Nb 2.08-2.13
N 0.5000 0.0000 0.7618  3 Nb 2.08-2.13
N 0.0000 0.5000 0.7618  3 Nb 2.08-2.13
Nb 0.5000 0.0000 0.0000  4 N 2.07-2.13
Nb 0.0000 0.5000 0.0000  4 N 2.07-2.13
Nb 0.0000 0.0000 0.2576  4 N 2.08, 1 F 2.17
Nb 0.0000 0.0000 0.7424  4 N 2.08, 1 F 2.17
Rb 0.5000 0.5000 0.5000  4 F 2.93, 8 N 3.13

## Properties
magnetization = 0.4 μB per formula unit
DFT total energy = -8.4214 eV per atom